VASP calculation (PBE) on an optimized crystal structure of Th4ReAu2.

Computed properties:
Formation enthalpy at 0 K   -0.311 eV/atom
Final energy   -7.2652 eV/atom
ρ   12.93 g/cm³

extended XYZ file:
```
28
Lattice="12.712 0.000 0.000 0.000 3.997 0.000 0.000 0.000 15.248" Properties=species:S:1:pos:R:3 pbc="T T T"
Th 0.156 0.999 3.068
Th 0.629 0.999 9.319
Th 2.437 2.998 0.800
Th 3.147 2.998 4.564
Th 3.209 0.999 12.188
Th 3.919 0.999 8.424
Th 5.727 2.998 1.695
Th 6.200 2.998 10.692
Th 6.511 0.999 4.556
Th 6.985 0.999 13.552
Th 8.793 2.998 6.824
Th 9.503 2.998 3.060
Th 9.565 0.999 10.684
Th 10.275 0.999 14.448
Th 12.082 2.998 5.929
Th 12.556 2.998 12.180
Re 2.610 2.998 10.284
Re 3.746 0.999 2.660
Re 8.965 2.998 12.588
Re 10.102 0.999 4.964
Au 0.744 0.999 14.358
Au 1.615 0.999 6.340
Au 4.741 2.998 13.964
Au 5.612 2.998 6.734
Au 7.100 0.999 8.514
Au 7.971 0.999 1.284
Au 11.096 2.998 8.908
Au 11.967 2.998 0.890
```